An optimized crystal structure of TbMnTlS3. Source: Alexandria, functional PBE-GGA.

abc: 4.076 8.797 9.483
angles: 105.99 90.00 90.00
Site moments in Bohr magnetons follow the coordinates.
Element x y z (fractional)
Tb: 0.250 0.665 0.143  0.05
Tb: 0.750 0.335 0.857  0.05
Mn: 0.250 0.080 0.615  4.17
Mn: 0.750 0.920 0.385  4.17
Tl: 0.750 0.794 0.783  0.01
Tl: 0.250 0.206 0.217  0.01
S: 0.250 0.805 0.455  0.11
S: 0.750 0.878 0.131  0.05
S: 0.750 0.458 0.154  0.02
S: 0.750 0.195 0.545  0.11
S: 0.250 0.542 0.846  0.02
S: 0.250 0.122 0.869  0.05

Properties
**Volume**: 326.9 Å³/cell
**Raw formation energy**: -1.1338 eV/atom
**Mass density**: 5.227 Mg/m³
**Electronic total energy**: -5.8919 eV/atom